Compound: K3MgHg4
Source: Alexandria
Functional: PBE-GGA
Structure: optimized geometry

Calculated values
- Energy of formation from the pure elements: -90 meV/atom
- Energy: -0.852 eV/atom
- Volume: 688.8 Å³ per cell

The structure in CIF format:
```
data_K3MgHg4
_cell_length_a 8.205
_cell_length_b 12.352
_cell_length_c 6.797
_cell_angle_alpha 90.00
_cell_angle_beta 90.00
_cell_angle_gamma 90.00
_space_group_name_H-M_alt 'I m m 2'
_space_group_IT_number 44
_space_group_name_Hall 'I 2 -2'
loop_
_atom_site_label
_atom_site_fract_x
_atom_site_fract_y
_atom_site_fract_z
K1 0.000 0.000 0.000
K2 0.000 0.289 0.499
Mg1 0.000 0.500 0.997
Hg1 0.000 0.272 0.000
Hg2 0.172 0.000 0.500
```

=====

Compound: KMg2Hg
Source: Alexandria
Functional: PBE-GGA
Structure: optimized geometry

Calculated values
- Energy of formation from the pure elements: 97 meV/atom
- Energy: -1.050 eV/atom
- Volume: 234.8 Å³ per cell

The structure in CIF format:
```
data_KMg2Hg
_cell_length_a 4.879
_cell_length_b 4.879
_cell_length_c 9.862
_cell_angle_alpha 90.00
_cell_angle_beta 90.00
_cell_angle_gamma 90.00
_space_group_name_H-M_alt 'I 4/m m m'
_space_group_IT_number 139
_space_group_name_Hall '-I 4 2'
loop_
_atom_site_label
_atom_site_fract_x
_atom_site_fract_y
_atom_site_fract_z
K1 0.000 0.000 0.000
Mg1 0.000 0.500 0.250
Hg1 0.000 0.000 0.500
```

=====

Compound: KMg2Hg
Source: Alexandria
Functional: PBE-GGA
Structure: optimized geometry

Calculated values
- Energy of formation from the pure elements: 91 meV/atom
- Energy: -1.056 eV/atom
- Volume: 119.0 Å³ per cell

The structure in CIF format:
```
data_KMg2Hg
_cell_length_a 4.834
_cell_length_b 4.834
_cell_length_c 5.090
_cell_angle_alpha 90.00
_cell_angle_beta 90.00
_cell_angle_gamma 90.00
_space_group_name_H-M_alt 'P 4/m m m'
_space_group_IT_number 123
_space_group_name_Hall '-P 4 2'
loop_
_atom_site_label
_atom_site_fract_x
_atom_site_fract_y
_atom_site_fract_z
K1 0.000 0.000 0.000
Mg1 0.000 0.500 0.500
Hg1 0.500 0.500 0.000
```

=====

Compound: KMgHg2
Source: Alexandria
Functional: PBE-GGA
Structure: optimized geometry

Calculated values
- Energy of formation from the pure elements: -123 meV/atom
- Energy: -0.947 eV/atom
- Volume: 383.1 Å³ per cell

The structure in CIF format:
```
data_KMgHg2
_cell_length_a 4.1546
_cell_length_b 4.1546
_cell_length_c 25.6314
_cell_angle_alpha 90.00
_cell_angle_beta 90.00
_cell_angle_gamma 120.00
_space_group_name_H-M_alt 'R -3 m'
_space_group_IT_number 166
_space_group_name_Hall '-R 3 2"'
loop_
_atom_site_label
_atom_site_fract_x
_atom_site_fract_y
_atom_site_fract_z
K1 0.0000 0.0000 0.0000
Mg1 0.0000 0.0000 0.5000
Hg1 0.0000 0.0000 0.2333
```

=====

Compound: KMg2Hg3
Source: Alexandria
Functional: PBE-GGA
Structure: optimized geometry

Calculated values
- Energy of formation from the pure elements: -208 meV/atom
- Energy: -1.073 eV/atom
- Volume: 684.5 Å³ per cell

The structure in CIF format:
```
data_KMg2Hg3
_cell_length_a 11.837
_cell_length_b 9.079
_cell_length_c 6.369
_cell_angle_alpha 90.00
_cell_angle_beta 90.00
_cell_angle_gamma 90.00
_space_group_name_H-M_alt 'C m c m'
_space_group_IT_number 63
_space_group_name_Hall '-C 2c 2'
loop_
_atom_site_label
_atom_site_fract_x
_atom_site_fract_y
_atom_site_fract_z
K1 0.000 0.164 0.250
Mg1 0.202 0.500 0.000
Hg1 0.000 0.433 0.750
Hg2 0.193 0.220 0.750
```

=====

Compound: K2MgHg2
Source: Alexandria
Functional: PBE-GGA
Structure: optimized geometry

Calculated values
- Offset from the most stable computed form: 186 meV per atom
- Energy of formation from the pure elements: 8 meV/atom
- Energy: -0.871 eV/atom
- Volume: 368.7 Å³ per cell

The structure in CIF format:
```
data_K2MgHg2
_cell_length_a 10.255
_cell_length_b 10.255
_cell_length_c 3.506
_cell_angle_alpha 90.00
_cell_angle_beta 90.00
_cell_angle_gamma 90.00
_space_group_name_H-M_alt 'P 4/m b m'
_space_group_IT_number 127
_space_group_name_Hall '-P 4 2ab'
loop_
_atom_site_label
_atom_site_fract_x
_atom_site_fract_y
_atom_site_fract_z
K1 0.184 0.316 0.000
Mg1 0.000 0.000 0.000
Hg1 0.109 0.609 0.500
```

=====

> Which formula does entry 2 have?

KMg2Hg

=====

> Among the records above, which one has the highest volume?

K3MgHg4

=====

> Look up the volume of the third one.

119.0 Å³ per cell